# 1
## Al2CuSi2 (meta-GGA SCAN)

Data for a PBEsol-optimized structure of Al2CuSi2.

abc: 4.061 4.061 5.842
angles: 110.34 110.34 90.00
Positions (direct):
Al: 0.750 0.250 0.500
Al: 0.250 0.750 0.500
Cu: 0.000 0.000 0.000
Si: 0.390 0.390 0.780
Si: 0.610 0.610 0.220

Values from the calculation:
**ΔE_f (raw)**: 0.3868 eV/atom
**D(E_F)**: 1.4 states/eV/cell

# 2
## FeNi2Br (meta-GGA SCAN)

Data for a PBEsol-optimized structure of FeNi2Br.

abc: 2.988 3.043 6.383
angles: 90.00 90.00 90.00
Last column: magnetic moment on the atom in μB.
Positions (direct):
Br: 0.500 0.000 0.000  0.07
Ni: 0.000 0.000 0.311  0.80
Ni: 0.000 0.000 0.689  0.80
Fe: 0.500 0.500 0.500  3.27

Values from the calculation:
**ΔE_f (raw)**: 0.2266 eV/atom
**D(E_F)**: 1.9 states/eV/cell

# 3
## HfMg2Ag (meta-GGA SCAN)

Data for a PBEsol-optimized structure of HfMg2Ag.

abc: 4.771 4.771 4.771
angles: 60.00 60.00 60.00
Positions (direct):
Mg: 0.750 0.750 0.750
Mg: 0.250 0.250 0.250
Ag: 0.000 0.000 0.000
Hf: 0.500 0.500 0.500

Values from the calculation:
**Energy of formation**: 4.5 kcal/mol of atoms
**D(E_F)**: 2.7 states/eV/cell

# 4
## CaNi2Cl (meta-GGA SCAN)

Data for a PBEsol-optimized structure of CaNi2Cl.

abc: 4.479 4.479 4.479
angles: 60.00 60.00 60.00
Positions (direct):
Ni: 0.000 0.000 0.000
Cl: 0.250 0.250 0.250
Ca: 0.500 0.500 0.500
Ni: 0.750 0.750 0.750

Values from the calculation:
**ΔE_f (raw)**: 0.1589 eV/atom
**D(E_F)**: 4.9 states/eV/cell

# 5
## MnIrAu (meta-GGA SCAN)

Data for a PBEsol-optimized structure of MnIrAu.

abc: 2.811 3.540 4.935
angles: 111.02 106.55 90.00
Last column: magnetic moment on the atom in μB.
Positions (direct):
Au: 0.996 0.996 0.992  -0.03
Ir: 0.684 0.684 0.368  -0.27
Mn: 0.320 0.320 0.639  3.54

Values from the calculation:
**Energy of formation**: -2.5 kcal/mol of atoms
**D(E_F)**: 2.6 states/eV/cell

# 6
## YRh2Se (meta-GGA SCAN)

Data for a PBEsol-optimized structure of YRh2Se.

abc: 3.295 4.289 5.093
angles: 90.00 101.02 90.00
Positions (direct):
Rh: 0.374 0.000 0.232
Y: 0.000 0.500 0.500
Se: 0.500 0.500 0.000
Rh: 0.626 0.000 0.768

Values from the calculation:
**ΔE_f (raw)**: -0.5613 eV/atom
**D(E_F)**: 2.8 states/eV/cell

# 7
## LiAu2 (meta-GGA SCAN)

Data for a PBEsol-optimized structure of LiAu2.

abc: 2.794 3.962 4.921
angles: 113.74 106.49 90.00
Positions (direct):
Au: 0.662 0.662 0.324
Li: 0.000 0.000 0.000
Au: 0.338 0.338 0.676

Values from the calculation:
**Energy of formation**: -10.7 kcal/mol of atoms
**D(E_F)**: 0.7 states/eV/cell

# 8
## CaFe2H (meta-GGA SCAN)

Data for a PBEsol-optimized structure of CaFe2H.

abc: 4.206 4.206 4.206
angles: 60.00 60.00 60.00
Last column: magnetic moment on the atom in μB.
Positions (direct):
H: 0.000 0.000 0.000  0.01
Fe: 0.750 0.750 0.750  2.77
Fe: 0.250 0.250 0.250  2.77
Ca: 0.500 0.500 0.500  -0.08

Values from the calculation:
**Calculated total energy**: -10.8877 eV/atom
**D(E_F)**: 5.2 states/eV/cell

# 9
## NaZrP2O8 (meta-GGA SCAN)

Data for a PBEsol-optimized structure of NaZrP2O8.

abc: 5.300 9.064 13.810
angles: 95.33 90.00 90.00
Last column: magnetic moment on the atom in μB.
Positions (direct):
O: 0.487 0.865 0.568  0.01
O: 0.279 0.566 0.564  0.00
O: 0.723 0.005 0.240  0.41
Na: 0.099 0.750 0.750  0.00
O: 0.052 0.315 0.090  0.04
O: 0.513 0.365 0.068  0.01
O: 0.042 0.346 0.614  0.05
O: 0.515 0.341 0.613  0.01
P: 0.282 0.059 0.868  -0.01
P: 0.718 0.559 0.368  -0.01
O: 0.515 0.159 0.887  0.01
Zr: 0.775 0.255 0.512  0.00
O: 0.721 0.434 0.436  0.00
O: 0.513 0.135 0.432  0.01
P: 0.274 0.420 0.122  -0.01
P: 0.718 0.941 0.132  -0.01
O: 0.052 0.185 0.410  0.04
Zr: 0.775 0.245 0.988  0.00
O: 0.206 0.578 0.097  0.01
O: 0.958 0.654 0.386  0.05
O: 0.485 0.841 0.113  0.01
O: 0.948 0.815 0.590  0.04
O: 0.303 0.082 0.267  0.39
P: 0.726 0.580 0.878  -0.01
P: 0.726 0.920 0.622  -0.01
O: 0.723 0.495 0.260  0.41
O: 0.485 0.659 0.387  0.01
O: 0.303 0.418 0.233  0.39
O: 0.697 0.582 0.767  0.39
O: 0.487 0.635 0.932  0.01
Zr: 0.225 0.755 0.012  0.00
O: 0.277 0.505 0.740  0.41
O: 0.697 0.918 0.733  0.39
O: 0.794 0.422 0.903  0.01
O: 0.958 0.846 0.114  0.05
O: 0.206 0.922 0.403  0.01
Na: 0.785 0.250 0.750  0.00
P: 0.274 0.080 0.378  -0.01
O: 0.277 0.995 0.760  0.41
Zr: 0.225 0.745 0.488  0.00
P: 0.282 0.441 0.632  -0.01
O: 0.042 0.154 0.886  0.05
O: 0.948 0.685 0.910  0.04
Na: 0.901 0.250 0.250  0.00
Na: 0.215 0.750 0.250  0.00
O: 0.721 0.066 0.064  0.00
O: 0.794 0.078 0.597  0.01
O: 0.279 0.934 0.936  0.00

Values from the calculation:
**ΔE_f (raw)**: -2.6483 eV/atom

# 10
## MnAlRe2 (meta-GGA SCAN)

Data for a PBEsol-optimized structure of MnAlRe2.

abc: 2.696 3.853 5.164
angles: 90.00 90.00 90.00
Last column: magnetic moment on the atom in μB.
Positions (direct):
Re: 0.000 0.000 0.255  -0.32
Re: 0.000 0.000 0.745  -0.32
Al: 0.500 0.500 0.000  -0.01
Mn: 0.500 0.500 0.500  2.52

Values from the calculation:
**Energy of formation**: -1.5 kcal/mol of atoms
**D(E_F)**: 2.4 states/eV/cell

# 11
## K5NaNi5P8O28 (meta-GGA SCAN)

Data for a PBEsol-optimized structure of K5NaNi5P8O28.

abc: 7.135 9.254 10.082
angles: 70.28 89.37 76.30
Last column: magnetic moment on the atom in μB.
Positions (direct):
O: 0.413 0.571 0.168  0.07
P: 0.357 0.742 0.174  0.01
O: 0.572 0.294 0.675  0.01
O: 0.424 0.063 0.220  0.04
K: 0.007 0.454 0.815  0.00
P: 0.850 0.188 0.222  0.01
O: 0.570 0.932 0.780  0.04
O: 0.534 0.145 0.935  0.07
O: 0.785 0.143 0.373  0.04
O: 0.074 0.193 0.233  0.01
O: 0.435 0.718 0.332  0.01
Ni: 0.999 0.000 0.003  1.75
O: 0.820 0.861 0.992  0.08
O: 0.146 0.942 0.851  0.07
Ni: 0.356 0.041 0.873  1.74
Ni: 0.639 0.959 0.119  1.72
O: 0.252 0.220 0.689  0.04
O: 0.718 0.641 0.932  0.04
Ni: 0.577 0.378 0.313  1.69
O: 0.255 0.509 0.588  0.00
O: 0.730 0.359 0.144  0.07
O: 0.395 0.319 0.454  0.04
O: 0.768 0.760 0.278  0.04
O: 0.841 0.067 0.152  0.07
P: 0.144 0.815 0.784  0.01
K: 0.038 0.799 0.430  0.00
O: 0.588 0.422 0.854  0.04
O: 0.281 0.357 0.075  0.04
O: 0.856 0.194 0.843  0.04
Na: 0.443 0.632 0.674  0.00
O: 0.255 0.648 0.874  0.03
O: 0.174 0.146 0.006  0.07
Ni: 0.493 0.504 0.003  1.75
O: 0.678 0.676 0.531  0.01
P: 0.640 0.261 0.837  0.01
K: 0.490 0.001 0.501  0.00
P: 0.256 0.189 0.125  0.01
P: 0.666 0.654 0.389  0.00
K: 0.939 0.185 0.589  0.00
O: 0.919 0.809 0.769  0.01
O: 0.731 0.480 0.395  0.05
P: 0.354 0.342 0.597  0.00
K: 0.999 0.551 0.168  0.00
P: 0.741 0.811 0.876  0.01
O: 0.141 0.806 0.167  0.04
O: 0.457 0.852 0.064  0.07
O: 0.200 0.866 0.632  0.01

Values from the calculation:
**ΔE_f (raw)**: -2.2992 eV/atom
**D(E_F)**: 0.0 states/eV/cell

What are the total magnetic moment values for these records? In order: 0.0 4.8 0.0 0.0 3.3 0.0 0.0 5.4 4.1 1.9 10.1 Bohr magnetons per cell.
What are the theoretical density values for these records? In order: 3.4 7.2 7.2 5.0 16.9 8.8 14.0 4.8 3.1 14.1 3.3 g/cm³.